No. 1
Material: Y4SbPd
Method: DFT, PBE
State: optimized geometry

Properties
- crystal system = monoclinic

a b c (Å): 5.5805 6.8185 8.6420
angles (deg): 90.00 100.40 90.00
Space group P2_1/m (No. 11)
Asymmetric unit:
Y: 0.1472 0.2500 0.0521 (multiplicity 2)
Y: 0.2127 0.7500 0.3625 (multiplicity 2)
Y: 0.3189 0.5127 0.7449 (multiplicity 4)
Sb: 0.2251 0.2500 0.4213 (multiplicity 2)
Pd: 0.3542 0.7500 0.0485 (multiplicity 2)

=====

No. 2
Material: YSbPd4
Method: DFT, PBE
State: optimized geometry

Properties
- crystal system = cubic

a b c (Å): 7.6437 7.6437 7.6437
angles (deg): 90.00 90.00 90.00
Space group F-43m (No. 216)
Asymmetric unit:
Y: 0.0000 0.0000 0.0000 (multiplicity 4)
Sb: 0.2500 0.2500 0.2500 (multiplicity 4)
Pd: 0.1253 0.1253 0.6253 (multiplicity 16)

=====

No. 3
Material: YSb4Pd15
Method: DFT, PBE
State: optimized geometry

Properties
- crystal system = tetragonal

a b c (Å): 4.0885 4.0885 20.1753
angles (deg): 90.00 90.00 90.00
Space group P4/mmm (No. 123)
Asymmetric unit:
Y: 0.0000 0.0000 0.0000 (multiplicity 1)
Sb: 0.0000 0.0000 0.2004 (multiplicity 2)
Sb: 0.0000 0.0000 0.4003 (multiplicity 2)
Pd: 0.0000 0.5000 0.1045 (multiplicity 4)
Pd: 0.0000 0.5000 0.3017 (multiplicity 4)
Pd: 0.0000 0.5000 0.5000 (multiplicity 2)
Pd: 0.5000 0.5000 0.0000 (multiplicity 1)
Pd: 0.5000 0.5000 0.2046 (multiplicity 2)
Pd: 0.5000 0.5000 0.4009 (multiplicity 2)

=====

No. 4
Material: YSbPd
Method: DFT, PBE
State: optimized geometry

Properties
- crystal system = tetragonal

a b c (Å): 3.3285 3.3285 14.8968
angles (deg): 90.00 90.00 90.00
Space group I4mm (No. 107)
Asymmetric unit:
Y: 0.0000 0.0000 0.0000 (multiplicity 2)
Sb: 0.0000 0.0000 0.6427 (multiplicity 2)
Pd: 0.0000 0.0000 0.8275 (multiplicity 2)

=====

No. 5
Material: Y2SbPd2
Method: DFT, PBE
State: optimized geometry

Properties
- crystal system = tetragonal

a b c (Å): 8.2002 8.2002 3.5522
angles (deg): 90.00 90.00 90.00
Space group P4/mbm (No. 127)
Asymmetric unit:
Y: 0.1629 0.3371 0.0000 (multiplicity 4)
Sb: 0.0000 0.0000 0.0000 (multiplicity 2)
Pd: 0.1244 0.6244 0.5000 (multiplicity 4)

=====

No. 6
Material: YSbPd3
Method: DFT, PBE
State: optimized geometry

Properties
- crystal system = tetragonal

a b c (Å): 5.2116 5.2116 18.0313
angles (deg): 90.00 90.00 90.00
Space group I-4m2 (No. 119)
Asymmetric unit:
Y: 0.0000 0.0000 0.1270 (multiplicity 4)
Sb: 0.0000 0.0000 0.5000 (multiplicity 2)
Sb: 0.0000 0.5000 0.7500 (multiplicity 2)
Pd: 0.0000 0.2464 0.6253 (multiplicity 8)
Pd: 0.0000 0.5000 0.0438 (multiplicity 4)

=====

no.,formation energy (no corrections) (eV per atom),raw total energy (eV/atom)
1,-0.6208,-6.4827
2,-0.5525,-5.7788
3,-0.4673,-5.5096
4,0.0048,-5.2550
5,-0.6835,-6.1708
6,-0.4163,-5.6493